Density functional theory data (GGA+U) for crystalline Ca2FeWO6 at its relaxed geometry.

Values from the calculation:
The density is 5530 kg/m³. The crystal system is tetragonal. The total energy is -6.8869 eV/atom.

abc: 5.607 5.607 3.971
angles: 90.00 90.00 90.00
Space group P4/mmm (No. 123)
Unique sites:
Ca 0.000 0.500 0.000 x2
Fe 0.000 0.000 0.500 x1
W 0.500 0.500 0.500 x1
O 0.000 0.000 0.000 x1
O 0.253 0.253 0.500 x4
O 0.500 0.500 0.000 x1